The following is a DFT calculation (PBE) of a relaxed LaPm3Au2 crystal.

Cell lengths 7.3085, 7.5010, 8.8643 Å; angles 115.03, 114.35, 90.00 degrees
Closest atoms and distances in Å follow each position.
Fractional coordinates of all 12 atoms:
Au  0.8449  0.1422  0.2844  6 Pm 2.97-3.16, 1 La 2.98
Au  0.1551  0.8578  0.7156  6 Pm 2.97-3.16, 1 La 2.98
Au  0.4395  0.6422  0.2844  6 Pm 2.97-3.16, 1 La 2.98
Au  0.5605  0.3578  0.7156  6 Pm 2.97-3.16, 1 La 2.98
Pm  0.5000  0.2500  0.0000  4 Au 3.14
Pm  0.2349  0.9849  0.4699  4 Au 2.97-3.16
Pm  0.5000  0.7500  0.0000  4 Au 3.14
Pm  0.7651  0.0151  0.5301  4 Au 2.97-3.16
Pm  0.7651  0.5151  0.5301  4 Au 2.97-3.16
Pm  0.2349  0.4849  0.4699  4 Au 2.97-3.16
La  0.0000  0.0000  0.0000  2 Au 2.98
La  0.0000  0.5000  0.0000  2 Au 2.98

Computed properties:
E above lowest polymorph: 0.159 eV/atom
VASP energy: -4.694 eV/atom
Fermi-level density of states: 8.25 states/eV/f.u.